Compound: SrNdRh
Source: the Alexandria database
Functional: PBE-GGA
Structure: relaxed

abc: 5.0443 5.0443 5.0443
angles: 60.00 60.00 60.00
With the nearest neighbours (Å) after each atom.
Element x y z (fractional)
Sr 0.5000 0.5000 0.5000  4 Rh 3.09
Nd 0.0000 0.0000 0.0000  4 Rh 3.09
Rh 0.2500 0.2500 0.2500  4 Nd 3.09, 4 Sr 3.09

Output
electronic total energy = -4.889 eV per atom
E_form = -289 meV per atom